1.
First-principles (SCAN) data for a PBEsol-optimized structure of Li4UO5, as listed in Alexandria via LeMat-Bulk.

extended XYZ file:
```
10
Lattice="-1.8574 0.7880 -3.9103 -3.8372 -3.2689 -1.3117 -4.0686 3.2504 0.1119" Properties=species:S:1:pos:R:3 pbc="T T T"
O -3.6243 1.1369 -3.0007
O -6.3989 2.0842 -3.9675
O -0.9287 0.3940 -1.9551
O -3.3643 -1.3147 -1.1426
O -6.1389 -0.3674 -2.1094
Li -2.8503 0.6865 -0.9835
Li -4.3320 -0.7571 -3.0462
Li -6.9129 0.0830 -4.1267
Li -5.4312 1.5265 -2.0639
U 0.0000 0.0000 0.0000
```

Results
Formation energy without anion corrections = -2.741 eV per atom
Symmetry = I4/m (87)

---

2.
First-principles (SCAN) data for a PBEsol-optimized structure of TaCrW2, as listed in Alexandria via LeMat-Bulk.

extended XYZ file:
```
4
Lattice="-1.2609 2.1969 -1.8299 -0.5674 -2.9663 -3.1704 -3.9967 -0.9544 1.6083" Properties=species:S:1:pos:R:3 pbc="T T T"
Ta -2.2821 -1.9604 -0.7811
Cr -2.6288 0.6213 -0.1108
W 0.0000 0.0000 0.0000
W -0.9142 -0.3847 -2.5001
```

Results
Symmetry = Pmmm (47)
ΔH_f (0 K) = -0.095 eV per formula unit

---

3.
First-principles (SCAN) data for a PBEsol-optimized structure of CoIr2Pt, as listed in Alexandria via LeMat-Bulk.

extended XYZ file:
```
4
Lattice="-2.4088 1.9766 2.1262 -0.3081 -2.9213 2.3668 4.2425 1.8088 -0.2215" Properties=species:S:1:pos:R:3 pbc="T T T"
Pt -1.3584 -0.4723 2.2465
Co 1.2880 -0.7924 2.1959
Ir 0.2376 1.6565 2.0756
Ir 0.0000 0.0000 0.0000
```

Results
Symmetry = I-4m2 (119)
ΔH_f (0 K) = -0.071 eV per formula unit

---

4.
First-principles (SCAN) data for a PBEsol-optimized structure of RePdRuRh2, as listed in Alexandria via LeMat-Bulk.

extended XYZ file:
```
5
Lattice="4.5697 0.0000 0.0000 0.0000 4.5697 0.0000 0.0000 0.0000 4.6850" Properties=species:S:1:pos:R:3 pbc="T T T"
Ru 2.2848 2.2848 2.3425
Rh 2.2848 0.0000 0.0000
Rh 0.0000 2.2848 0.0000
Re 0.0000 0.0000 0.0000
Pd 0.0000 0.0000 2.3425
```

Results
Symmetry = P4/mmm (123)
ΔH_f (0 K) = 8.339 eV per formula unit

---

5.
First-principles (SCAN) data for a PBEsol-optimized structure of CsMgAg2Br, as listed in Alexandria via LeMat-Bulk.

extended XYZ file:
```
5
Lattice="5.4140 0.0000 0.0000 0.0000 5.4140 0.0000 0.0000 0.0000 6.4464" Properties=species:S:1:pos:R:3 pbc="T T T"
Ag 2.7070 0.0000 0.0000
Ag 0.0000 2.7070 0.0000
Cs 0.0000 0.0000 3.2232
Br 0.0000 0.0000 0.0000
Mg 2.7070 2.7070 3.2232
```

Results
Formation energy without anion corrections = 0.364 eV per atom
Symmetry = P4/mmm (123)

---

6.
First-principles (SCAN) data for a PBEsol-optimized structure of NiPtSCl2, as listed in Alexandria via LeMat-Bulk.

extended XYZ file:
```
5
Lattice="-1.9695 1.6827 3.8587 -3.9483 0.9884 -2.4462 -1.7063 -4.3148 1.0107" Properties=species:S:1:pos:R:3 pbc="T T T"
Cl -1.9741 0.4942 -1.2231
Cl -0.8531 -2.1574 0.5053
Ni -3.8121 -0.8218 1.2116
Pt 0.0000 0.0000 0.0000
S -0.9848 0.8414 1.9294
```

Results
Formation energy without anion corrections = 0.425 eV per atom
Symmetry = P4/mmm (123)

---

E for every record listed, in sequence, given in eV/atom: -17.1648; -56.1097; -57.4416; -39.5804; -24.6319; -21.9648.